An optimized crystal structure of SiOsW. Source: the Alexandria database, functional GGA-PBE.

abc: 4.601 4.601 4.601
angles: 143.92 130.26 62.97
Positions (direct):
Si  0.000  0.000  0.000
Os  0.664  0.664  0.000
W  0.334  0.334  0.000

## Properties
E_tot	-9.825	eV per atom
M_tot	0.000	μB per formula unit

***

An optimized crystal structure of Si2OsW. Source: the Alexandria database, functional GGA-PBE.

abc: 2.788 2.788 7.741
angles: 90.00 90.00 90.00
Positions (direct):
Si  0.000  0.000  0.000
Si  0.500  0.500  0.299
Os  0.500  0.500  0.787
W  0.000  0.000  0.545

## Properties
E_tot	-8.589	eV per atom
M_tot	0.000	μB per formula unit